{"formula": "Nb4P", "functional": "PBE-GGA", "state": "optimized geometry", "lattice_angstrom": [[4.613, 0.000, 0.000], [0.000, 4.613, 0.000], [0.000, 0.000, 4.613]], "species": ["Nb", "Nb", "Nb", "Nb", "P"], "frac_coords": [[0.000, 0.000, 0.000], [0.000, 0.500, 0.500], [0.500, 0.000, 0.500], [0.500, 0.500, 0.000], [0.500, 0.500, 0.500]]}

---

{"formula": "Nb3P2", "functional": "PBE-GGA", "state": "optimized geometry", "lattice_angstrom": [[9.782, 0.000, 0.000], [0.000, 3.439, 0.000], [0.000, 0.000, 9.577]], "species": ["Nb", "Nb", "Nb", "Nb", "Nb", "Nb", "Nb", "Nb", "Nb", "Nb", "Nb", "Nb", "P", "P", "P", "P", "P", "P", "P", "P"], "frac_coords": [[0.054, 0.250, 0.125], [0.118, 0.750, 0.572], [0.206, 0.250, 0.797], [0.294, 0.750, 0.297], [0.382, 0.250, 0.072], [0.446, 0.750, 0.625], [0.554, 0.250, 0.375], [0.618, 0.750, 0.928], [0.706, 0.250, 0.703], [0.794, 0.750, 0.203], [0.882, 0.250, 0.428], [0.946, 0.750, 0.875], [0.041, 0.750, 0.323], [0.200, 0.750, 0.995], [0.300, 0.250, 0.495], [0.459, 0.250, 0.823], [0.541, 0.750, 0.177], [0.700, 0.750, 0.505], [0.800, 0.250, 0.005], [0.959, 0.250, 0.677]]}

---

{"formula": "NbP", "functional": "PBE-GGA", "state": "optimized geometry", "lattice_angstrom": [[3.589, 0.000, 0.000], [0.000, 12.068, 0.000], [0.000, 0.000, 5.509]], "species": ["Nb", "Nb", "Nb", "Nb", "Nb", "Nb", "P", "P", "P", "P", "P", "P"], "frac_coords": [[0.250, 0.113, 0.014], [0.250, 0.387, 0.014], [0.250, 0.750, 0.345], [0.750, 0.250, 0.655], [0.750, 0.613, 0.986], [0.750, 0.887, 0.986], [0.250, 0.250, 0.340], [0.250, 0.551, 0.269], [0.250, 0.949, 0.269], [0.750, 0.051, 0.731], [0.750, 0.449, 0.731], [0.750, 0.750, 0.660]]}

---

{"formula": "NbP", "functional": "PBE-GGA", "state": "optimized geometry", "lattice_angstrom": [[-4.017, 4.017, 2.466], [4.017, -4.017, 2.466], [4.017, 4.017, -2.466]], "species": ["Nb", "Nb", "Nb", "Nb", "P", "P", "P", "P"], "frac_coords": [[0.111, 0.333, 0.444], [0.333, 0.889, 0.221], [0.667, 0.111, 0.779], [0.889, 0.667, 0.556], [0.218, 0.604, 0.822], [0.396, 0.218, 0.614], [0.604, 0.782, 0.386], [0.782, 0.396, 0.178]]}

---

Electronic total energy values (in eV for the cell shown) by entry order: -44.56; -181.81; -97.21; -66.13.
Formation enthalpy at 0 K values (in kJ per mole of atoms) by entry order: 21.9; -85.3; -34.8; -50.8.